3
Lattice="-2.2101 3.3906 -0.3347 -2.4989 -1.3419 2.9065 4.4683 0.6073 1.2848" Properties=species:S:1:pos:R:3 comment="RbHF (PBE, relaxed)" crystal_system=tetragonal rho_g_cm3=2.87 de_polymorph_mev_per_atom=580.4 spacegroup="No. 107" pbc="T T T"
Rb 1.1894 0.9181 1.4465
H -1.6033 1.6041 2.1993
F -0.7014 2.3003 3.2962

4
Lattice="2.6296 0.0000 0.0000 1.3148 2.2773 0.0000 1.3148 0.7591 8.2627" Properties=species:S:1:pos:R:3 comment="Fe2ReNi (PBE, relaxed)" crystal_system=trigonal rho_g_cm3=11.97 delta_e_f_mev_per_atom=146 spacegroup="No. 160" pbc="T T T"
Re 2.6296 1.5182 4.0389
Ni 2.6296 1.5182 0.0274
Fe 1.3148 0.7591 2.0302
Fe 1.3148 0.7591 6.2975